Record 1
Mg2GePt2: relaxed, PBEsol.

a b c (Å): 6.7413 6.7413 6.7413
angles (deg): 147.00 147.00 47.36
Last column: nearest neighbours and their distance in Å.
Fractional coordinates of all 5 atoms:
Mg  0.2500  0.7500  0.5000  4 Pt 2.62, 4 Mg 2.71
Mg  0.7500  0.2500  0.5000  4 Pt 2.62, 4 Mg 2.71
Ge  0.0000  0.0000  0.0000  8 Pt 3.00
Pt  0.3954  0.3954  0.0000  1 Pt 2.58, 4 Mg 2.62
Pt  0.6046  0.6046  0.0000  1 Pt 2.58, 4 Mg 2.62

formation energy = -181 meV per atom

---

Record 2
MgGe3Rh: relaxed, PBEsol.

a b c (Å): 4.7604 4.7604 4.7604
angles (deg): 90.00 90.00 90.00
Last column: nearest neighbours and their distance in Å.
Fractional coordinates of all 5 atoms:
Mg  0.0000  0.0000  0.0000  12 Ge 3.37
Ge  0.0000  0.5000  0.5000  2 Rh 2.38
Ge  0.5000  0.0000  0.5000  2 Rh 2.38
Ge  0.5000  0.5000  0.0000  2 Rh 2.38
Rh  0.5000  0.5000  0.5000  6 Ge 2.38

formation energy = 170 meV per atom